Entry from the Alexandria database: crystalline CsLi3Br4 at its relaxed geometry (PBE).

The structure in CIF format:
```
data_CsLi3Br4
_cell_length_a 9.600
_cell_length_b 7.255
_cell_length_c 7.388
_cell_angle_alpha 90.00
_cell_angle_beta 90.00
_cell_angle_gamma 90.00
_symmetry_space_group_name_H-M 'P m n 21'
_symmetry_Int_Tables_number 31
loop_
_symmetry_equiv_pos_as_xyz
'x,y,z'
'-x+1/2,-y,z+1/2'
'-x,y,z'
'x+1/2,-y,z+1/2'
loop_
_atom_site_label
_atom_site_fract_x
_atom_site_fract_y
_atom_site_fract_z
Cs1 0.000 0.216 0.000
Li1 0.000 0.789 0.495
Li2 0.246 0.329 0.481
Br1 0.000 0.146 0.476
Br2 0.000 0.742 0.840
Br3 0.192 0.626 0.313
```

Output
* formation energy without anion corrections: -1.569 eV per atom
* Fermi-level density of states: 0.0 states/eV/f.u.
* density: 3.06 g/cm3



Entry from the Alexandria database: crystalline Cs3LiBr4 at its relaxed geometry (PBE).

The structure in CIF format:
```
data_Cs3LiBr4
_cell_length_a 11.428
_cell_length_b 14.812
_cell_length_c 8.200
_cell_angle_alpha 90.00
_cell_angle_beta 90.00
_cell_angle_gamma 90.00
_symmetry_space_group_name_H-M 'C 2 2 21'
_symmetry_Int_Tables_number 20
loop_
_symmetry_equiv_pos_as_xyz
'x,y,z'
'-x,-y,z+1/2'
'x,-y,-z'
'-x,y,-z+1/2'
'x+1/2,y+1/2,z'
'-x+1/2,-y+1/2,z+1/2'
'x+1/2,-y+1/2,-z'
'-x+1/2,y+1/2,-z+1/2'
loop_
_atom_site_label
_atom_site_fract_x
_atom_site_fract_y
_atom_site_fract_z
Cs1 0.000 0.200 0.250
Cs2 0.239 0.077 0.771
Li1 0.000 0.391 0.750
Br1 0.011 0.000 0.500
Br2 0.032 0.500 0.000
Br3 0.186 0.311 0.661
```

Output
* formation energy without anion corrections: -1.688 eV per atom
* Fermi-level density of states: 0.0 states/eV/f.u.
* density: 3.47 g/cm3



Entry from the Alexandria database: crystalline CsLi3Br4 at its relaxed geometry (PBE).

The structure in CIF format:
```
data_CsLi3Br4
_cell_length_a 10.065
_cell_length_b 4.394
_cell_length_c 11.939
_cell_angle_alpha 90.00
_cell_angle_beta 90.00
_cell_angle_gamma 90.00
_symmetry_space_group_name_H-M 'P m m a'
_symmetry_Int_Tables_number 51
loop_
_symmetry_equiv_pos_as_xyz
'x,y,z'
'-x,-y,-z'
'-x+1/2,-y,z'
'x+1/2,y,-z'
'x+1/2,-y,-z'
'-x+1/2,y,z'
'-x,y,-z'
'x,-y,z'
loop_
_atom_site_label
_atom_site_fract_x
_atom_site_fract_y
_atom_site_fract_z
Cs1 0.000 0.000 0.000
Li1 0.086 0.500 0.307
Li2 0.250 0.000 0.581
Br1 0.045 0.000 0.706
Br2 0.250 0.500 0.129
Br3 0.250 0.500 0.468
```

Output
* formation energy without anion corrections: -1.580 eV per atom
* Fermi-level density of states: 0.0 states/eV/f.u.
* density: 2.98 g/cm3



Entry from the Alexandria database: crystalline Cs3LiBr at its relaxed geometry (PBE).

The structure in CIF format:
```
data_Cs3LiBr
_cell_length_a 7.139
_cell_length_b 7.139
_cell_length_c 7.139
_cell_angle_alpha 90.00
_cell_angle_beta 90.00
_cell_angle_gamma 90.00
_symmetry_space_group_name_H-M 'P m -3 m'
_symmetry_Int_Tables_number 221
_symmetry_space_group_name_Hall '-P 4 2 3'
loop_
_atom_site_label
_atom_site_fract_x
_atom_site_fract_y
_atom_site_fract_z
Cs1 0.000 0.000 0.500
Li1 0.500 0.500 0.500
Br1 0.000 0.000 0.000
```

Output
* formation energy without anion corrections: -0.582 eV per atom
* Fermi-level density of states: 4.8 states/eV/f.u.
* density: 2.22 g/cm3



Entry from the Alexandria database: crystalline CsLi2Br3 at its relaxed geometry (PBE).

The structure in CIF format:
```
data_CsLi2Br3
_cell_length_a 10.194
_cell_length_b 12.826
_cell_length_c 6.128
_cell_angle_alpha 90.00
_cell_angle_beta 90.00
_cell_angle_gamma 90.00
_symmetry_space_group_name_H-M 'C m c m'
_symmetry_Int_Tables_number 63
_symmetry_space_group_name_Hall '-C 2c 2'
loop_
_atom_site_label
_atom_site_fract_x
_atom_site_fract_y
_atom_site_fract_z
Cs1 0.000 0.182 0.250
Li1 0.158 0.500 0.000
Br1 0.000 0.398 0.750
Br2 0.214 0.112 0.750
```

Output
* formation energy without anion corrections: -1.626 eV per atom
* Fermi-level density of states: 0.0 states/eV/f.u.
* density: 3.20 g/cm3



Entry from the Alexandria database: crystalline Cs4LiBr2 at its relaxed geometry (PBE).

The structure in CIF format:
```
data_Cs4LiBr2
_cell_length_a 7.146
_cell_length_b 7.146
_cell_length_c 19.312
_cell_angle_alpha 90.00
_cell_angle_beta 90.00
_cell_angle_gamma 90.00
_symmetry_space_group_name_H-M 'I 4/m m m'
_symmetry_Int_Tables_number 139
_symmetry_space_group_name_Hall '-I 4 2'
loop_
_atom_site_label
_atom_site_fract_x
_atom_site_fract_y
_atom_site_fract_z
Cs1 0.000 0.000 0.220
Cs2 0.000 0.500 0.000
Li1 0.000 0.000 0.000
Br1 0.000 0.000 0.396
```

Output
* formation energy without anion corrections: -0.720 eV per atom
* Fermi-level density of states: 3.7 states/eV/f.u.
* density: 2.35 g/cm3